1.
VASP calculation (PBE) on an optimized crystal structure of PrDy2Ho5.

Results
uncorrected energy = -72.62 eV/cell
SG = No. 2
N(E_F) = 23.4 states/eV/cell

Lattice parameters (Å, degrees): 6.715 8.947 9.024 93.92 104.48 100.20
Sites, in units of the cell vectors:
Pr1 0.045 0.214 0.207
Pr2 0.955 0.786 0.793
Dy1 0.237 0.170 0.869
Dy2 0.271 0.538 0.047
Dy3 0.729 0.462 0.953
Dy4 0.763 0.830 0.131
Ho1 0.040 0.588 0.348
Ho2 0.236 0.950 0.522
Ho3 0.307 0.918 0.167
Ho4 0.418 0.699 0.761
Ho5 0.425 0.334 0.575
Ho6 0.575 0.666 0.425
Ho7 0.582 0.301 0.239
Ho8 0.693 0.082 0.833
Ho9 0.764 0.050 0.478
Ho10 0.960 0.412 0.652

2.
VASP calculation (PBE) on an optimized crystal structure of PmY4Tm7.

Results
uncorrected energy = -58.52 eV/cell
SG = No. 12
N(E_F) = 21.7 states/eV/cell

Lattice parameters (Å, degrees): 6.672 6.672 12.611 115.15 115.15 51.66
Sites, in units of the cell vectors:
Pm1 0.000 0.000 0.000
Y1 0.246 0.246 0.681
Y2 0.368 0.368 0.225
Y3 0.632 0.632 0.775
Y4 0.754 0.754 0.319
Tm1 0.061 0.061 0.326
Tm2 0.211 0.211 0.923
Tm3 0.366 0.366 0.498
Tm4 0.500 0.500 0.000
Tm5 0.634 0.634 0.502
Tm6 0.789 0.789 0.077
Tm7 0.939 0.939 0.674